## A
First-principles (PBE-GGA) data for a geometry-optimized LaTl2Cu structure, as listed in Alexandria.

The space group is I-42d (No. 122) and the conventional cell measures 4.562, 4.562 and 21.809 Å, with angles of 90.00, 90.00 and 90.00 degrees. The distinct sites, in fractional coordinates, are La at (0.000, 0.000, 0.000), Tl at (0.214, 0.250, 0.625) and Cu at (0.000, 0.000, 0.500).

---

## B
First-principles (PBE-GGA) data for a geometry-optimized LaTl2Cu structure, as listed in Alexandria.

The space group is R-3m (No. 166, hexagonal axes) and the conventional cell measures 4.6567, 4.6567 and 16.7513 Å, with angles of 90.00, 90.00 and 120.00 degrees. The distinct sites, in fractional coordinates, are La at (0.0000, 0.0000, 0.0000), Tl at (0.0000, 0.0000, 0.2207) and Cu at (0.0000, 0.0000, 0.5000).

---

Most favorable first, least favorable last: B, A

---

## A
First-principles (PBE-GGA) data for a geometry-optimized La4TlCu structure, as listed in Alexandria.

The space group is C2/c (No. 15) and the conventional cell measures 9.058, 14.523 and 6.146 Å, with angles of 90.00, 113.14 and 90.00 degrees. The distinct sites, in fractional coordinates, are La at (0.115, 0.192, 0.074), La at (0.221, 0.419, 0.354), Tl at (0.000, 0.388, 0.750) and Cu at (0.000, 0.005, 0.750).

---

## B
First-principles (PBE-GGA) data for a geometry-optimized La4TlCu structure, as listed in Alexandria.

The space group is P2_1/m (No. 11) and the conventional cell measures 5.670, 7.356 and 9.023 Å, with angles of 90.00, 100.43 and 90.00 degrees. The distinct sites, in fractional coordinates, are La at (0.144, 0.250, 0.038), La at (0.207, 0.750, 0.372), La at (0.338, 0.522, 0.736), Tl at (0.218, 0.250, 0.412) and Cu at (0.365, 0.750, 0.049).

---

## C
First-principles (PBE-GGA) data for a geometry-optimized La4TlCu structure, as listed in Alexandria.

The space group is F-43m (No. 216) and the conventional cell measures 9.155, 9.155 and 9.155 Å, with angles of 90.00, 90.00 and 90.00 degrees. The distinct sites, in fractional coordinates, are La at (0.124, 0.124, 0.124), Tl at (0.250, 0.250, 0.750) and Cu at (0.000, 0.000, 0.500).

---

Most favorable first, least favorable last: B, A, C